No. 1
Cs5K12Hg3 PBE-GGA optimized geometry; symmetry = No. 230; energy of formation from the pure elements = 0.09 eV per atom
1.0
20.890 0.000 0.000
-6.963 19.695 0.000
-6.963 -9.848 17.057
Cs K Hg
20 48 12
Direct
0.125 0.375 0.250
0.000 0.500 0.000
0.000 0.000 0.000
0.375 0.250 0.125
0.500 0.000 0.500
0.500 0.500 0.000
0.125 0.750 0.375
0.750 0.125 0.875
0.750 0.625 0.375
0.375 0.125 0.750
0.625 0.875 0.250
0.500 0.500 0.500
0.500 0.000 0.000
0.000 0.000 0.500
0.250 0.375 0.625
0.250 0.875 0.125
0.000 0.500 0.500
0.875 0.250 0.625
0.625 0.750 0.875
0.875 0.625 0.750
0.755 0.135 0.098
0.342 0.598 0.463
0.902 0.365 0.245
0.598 0.255 0.135
0.620 0.755 0.658
0.902 0.537 0.158
0.342 0.745 0.380
0.037 0.880 0.135
0.537 0.902 0.658
0.755 0.620 0.158
0.745 0.402 0.365
0.842 0.963 0.098
0.135 0.755 0.598
0.365 0.463 0.120
0.120 0.963 0.365
0.380 0.135 0.537
0.120 0.158 0.255
0.402 0.658 0.037
0.842 0.880 0.245
0.135 0.380 0.037
0.365 0.902 0.745
0.537 0.635 0.380
0.963 0.842 0.598
0.745 0.342 0.880
0.463 0.365 0.620
0.037 0.158 0.402
0.255 0.658 0.120
0.158 0.120 0.755
0.635 0.098 0.255
0.865 0.620 0.963
0.598 0.342 0.963
0.620 0.865 0.463
0.880 0.842 0.745
0.880 0.037 0.635
0.865 0.245 0.402
0.158 0.037 0.902
0.635 0.537 0.880
0.463 0.098 0.342
0.245 0.380 0.842
0.255 0.598 0.635
0.963 0.120 0.865
0.658 0.255 0.620
0.402 0.745 0.865
0.098 0.463 0.842
0.380 0.245 0.342
0.098 0.635 0.755
0.658 0.402 0.537
0.245 0.865 0.902
0.750 0.375 0.125
0.875 0.750 0.125
0.375 0.750 0.625
0.250 0.125 0.375
0.875 0.125 0.250
0.375 0.625 0.250
0.625 0.375 0.750
0.125 0.875 0.750
0.750 0.875 0.625
0.625 0.250 0.375
0.125 0.250 0.875
0.250 0.625 0.875



No. 2
Cs4K5Hg2 PBE-GGA optimized geometry; symmetry = No. 10; energy of formation from the pure elements = -0.07 eV per atom; ΔE to the lowest computed polymorph = 0 meV/atom
1.0
-2.566 4.129 1.352
-3.988 -5.658 9.709
10.842 4.765 6.028
Cs K Hg
4 5 2
Direct
0.500 0.798 0.545
0.500 0.174 0.822
0.500 0.202 0.455
0.500 0.826 0.178
0.000 0.516 0.329
0.000 0.160 0.146
0.000 0.500 0.000
0.000 0.840 0.854
0.000 0.484 0.671
0.000 0.034 0.619
0.000 0.966 0.381



No. 3
Cs12K2Hg7 PBE-GGA optimized geometry; symmetry = No. 147; energy of formation from the pure elements = -0.13 eV per atom
1.0
8.060 -13.960 0.000
8.060 13.960 0.000
0.000 0.000 6.161
Cs K Hg
12 2 7
Direct
0.625 0.082 0.251
0.457 0.375 0.251
0.918 0.543 0.251
0.375 0.918 0.749
0.543 0.625 0.749
0.082 0.457 0.749
0.122 0.258 0.246
0.136 0.878 0.246
0.742 0.864 0.246
0.878 0.742 0.754
0.864 0.122 0.754
0.258 0.136 0.754
0.333 0.667 0.247
0.667 0.333 0.753
0.000 0.000 0.500
0.896 0.295 0.253
0.399 0.104 0.253
0.705 0.601 0.253
0.104 0.705 0.747
0.601 0.896 0.747
0.295 0.399 0.747



No. 4
CsK3Hg PBE-GGA optimized geometry; symmetry = No. 12; energy of formation from the pure elements = -0.10 eV per atom; ΔE to the lowest computed polymorph = 0 meV/atom
1.0
5.461 0.000 -1.296
-0.848 9.960 -3.573
-0.122 -0.099 11.641
Cs K Hg
2 6 2
Direct
0.541 0.245 0.082
0.459 0.755 0.918
0.111 0.656 0.222
0.889 0.344 0.778
0.325 0.006 0.649
0.675 0.994 0.351
0.221 0.327 0.443
0.779 0.673 0.557
0.930 0.002 0.861
0.070 0.998 0.139



Number 1 is which compound? Cs5K12Hg3



Look up the energy of formation from the pure elements of the third one. -0.13 eV per atom



Which of these has the highest energy of formation from the pure elements? Cs5K12Hg3



Look up the energy of formation from the pure elements of the third one. -0.13 eV per atom